Entry 1:
A plane-wave DFT calculation with PBE was carried out for an optimized crystal structure of RbTbCdO3.

The structure in POSCAR format:
```
RbTbCdO3
1.0
-1.7547 0.0639 -3.1585
-2.4266 -9.1846 1.1623
-5.0216 3.8307 2.8673
Rb Tb Cd O
2 2 2 6
direct
0.2500 0.3191 0.3665
0.7500 0.6809 0.6335
0.2500 0.6551 0.1194
0.7500 0.3449 0.8806
0.2500 0.0448 0.6897
0.7500 0.9552 0.3103
0.7500 0.7813 0.0415
0.2500 0.2187 0.9585
0.2500 0.8431 0.4464
0.7500 0.1569 0.5536
0.7500 0.5177 0.1838
0.2500 0.4823 0.8162
```

Calculated values
Total energy ... -5.630 eV/atom
Calculated density ... 5.87 Mg/m³
Energy relative to the elements, uncorrected ... -2.066 eV/atom

***

Entry 2:
A plane-wave DFT calculation with PBE was carried out for an optimized crystal structure of Rb2CdTcO6.

The structure in POSCAR format:
```
Rb2CdTcO6
1.0
-1.2748 5.5942 -0.4245
-5.1088 -1.4305 -3.5092
-0.4920 0.3683 6.3311
Rb Cd Tc O
2 1 1 6
direct
0.1646 0.3333 0.6667
0.8354 0.6667 0.3333
0.5000 0.0000 0.0000
0.0000 0.0000 0.0000
0.8040 0.1395 0.2791
0.8040 0.1395 0.8605
0.8040 0.7209 0.8605
0.1960 0.8605 0.1395
0.1960 0.2791 0.1395
0.1960 0.8605 0.7209
```

Calculated values
Total energy ... -5.408 eV/atom
Calculated density ... 3.93 Mg/m³
Energy relative to the elements, uncorrected ... -1.111 eV/atom

***

Entry 3:
A plane-wave DFT calculation with PBE was carried out for an optimized crystal structure of RbCdTc2O6.

The structure in POSCAR format:
```
RbCdTc2O6
1.0
-4.6636 -5.7578 1.6211
6.5883 0.5626 3.7157
-2.8875 4.1285 3.0538
Rb Cd Tc O
2 2 4 12
direct
0.1429 0.8571 0.2500
0.8571 0.1429 0.7500
0.7221 0.2779 0.2500
0.2779 0.7221 0.7500
0.3980 0.2831 0.7754
0.7169 0.6020 0.7246
0.6020 0.7169 0.2246
0.2831 0.3980 0.2754
0.0565 0.4310 0.2371
0.5690 0.9435 0.2629
0.9435 0.5690 0.7629
0.4310 0.0565 0.7371
0.2447 0.1861 0.0290
0.8139 0.7553 0.4710
0.7553 0.8139 0.9710
0.1861 0.2447 0.5290
0.4677 0.6485 0.5338
0.3515 0.5323 0.9662
0.5323 0.3515 0.4662
0.6485 0.4677 0.0338
```

Calculated values
Total energy ... -6.507 eV/atom
Calculated density ... 5.65 Mg/m³
Energy relative to the elements, uncorrected ... -1.271 eV/atom

***

Entry 4:
A plane-wave DFT calculation with PBE was carried out for an optimized crystal structure of RbCdTcO4.

The structure in POSCAR format:
```
RbCdTcO4
1.0
-5.7512 2.4561 -1.8053
-2.5215 -2.2270 5.0031
5.1272 4.7207 4.6854
Rb Cd Tc O
2 2 2 8
direct
0.6475 0.7500 0.9262
0.3525 0.2500 0.0738
0.9306 0.7500 0.5357
0.0694 0.2500 0.4643
0.2699 0.7500 0.2882
0.7301 0.2500 0.7118
0.9102 0.4878 0.7841
0.0898 0.9878 0.2159
0.0898 0.5122 0.2159
0.9102 0.0122 0.7841
0.4719 0.7500 0.2029
0.5281 0.2500 0.7971
0.4260 0.7500 0.5267
0.5740 0.2500 0.4733
```

Calculated values
Total energy ... -5.911 eV/atom
Calculated density ... 4.14 Mg/m³
Energy relative to the elements, uncorrected ... -1.328 eV/atom

***

Entry 5:
A plane-wave DFT calculation with PBE was carried out for an optimized crystal structure of RbCdTeO4.

The structure in POSCAR format:
```
RbCdTeO4
1.0
-3.0991 5.1563 0.2134
-3.8351 -2.4769 4.1531
6.3060 -0.3017 5.6433
Rb Cd Te O
2 2 2 8
direct
0.4090 0.7500 0.8465
0.5910 0.2500 0.1535
0.7954 0.7500 0.4679
0.2046 0.2500 0.5321
0.2114 0.7500 0.3048
0.7886 0.2500 0.6952
0.9865 0.4851 0.6695
0.0135 0.9851 0.3305
0.0135 0.5149 0.3305
0.9865 0.0149 0.6695
0.4589 0.7500 0.2040
0.5411 0.2500 0.7960
0.4479 0.7500 0.5285
0.5521 0.2500 0.4715
```

Calculated values
Total energy ... -4.654 eV/atom
Calculated density ... 4.47 Mg/m³
Energy relative to the elements, uncorrected ... -1.103 eV/atom

***

Entry 6:
A plane-wave DFT calculation with PBE was carried out for an optimized crystal structure of Rb3CdTe2O9.

The structure in POSCAR format:
```
Rb3CdTe2O9
1.0
-4.6160 -3.5591 1.2029
4.8471 -2.2078 -2.6557
2.9118 -1.5459 6.5998
Rb Cd Te O
3 1 2 9
direct
0.3333 0.6667 0.6592
0.0000 0.0000 0.0000
0.6667 0.3333 0.3408
0.0000 0.0000 0.5000
0.3333 0.6667 0.1662
0.6667 0.3333 0.8338
0.8218 0.1782 0.6935
0.8218 0.6437 0.6935
0.3563 0.1782 0.6935
0.6437 0.8218 0.3065
0.1782 0.3563 0.3065
0.1782 0.8218 0.3065
0.5000 0.0000 0.0000
0.0000 0.5000 0.0000
0.5000 0.5000 0.0000
```

Calculated values
Total energy ... -4.734 eV/atom
Calculated density ... 5.64 Mg/m³
Energy relative to the elements, uncorrected ... -1.086 eV/atom

***

Entry 7:
A plane-wave DFT calculation with PBE was carried out for an optimized crystal structure of Rb2CdTeO6.

The structure in POSCAR format:
```
Rb2CdTeO6
1.0
-0.5696 3.5577 -4.9018
-5.0278 3.3376 -0.7684
0.2460 6.0501 0.5875
Rb Cd Te O
2 1 1 6
direct
0.7500 0.7500 0.7500
0.2500 0.2500 0.2500
0.5000 0.5000 0.5000
0.0000 0.0000 0.0000
0.2259 0.7741 0.7741
0.2259 0.7741 0.2259
0.2259 0.2259 0.7741
0.7741 0.7741 0.2259
0.7741 0.2259 0.2259
0.7741 0.2259 0.7741
```

Calculated values
Total energy ... -4.588 eV/atom
Calculated density ... 5.29 Mg/m³
Energy relative to the elements, uncorrected ... -1.014 eV/atom

***

Entry 8:
A plane-wave DFT calculation with PBE was carried out for an optimized crystal structure of Rb2CdTe2O6.

The structure in POSCAR format:
```
Rb2CdTe2O6
1.0
-0.2876 4.6703 4.3371
-3.2609 -4.7710 0.2286
6.8997 -1.8552 2.4552
Rb Cd Te O
2 1 2 6
direct
0.6962 0.3924 0.1306
0.3038 0.6076 0.8694
0.5000 0.0000 0.5000
0.9036 0.8071 0.7453
0.0964 0.1929 0.2547
0.7440 0.4880 0.5132
0.2068 0.9479 0.2579
0.2589 0.0521 0.7421
0.7932 0.0521 0.7421
0.7411 0.9479 0.2579
0.2560 0.5120 0.4868
```

Calculated values
Total energy ... -4.759 eV/atom
Calculated density ... 4.86 Mg/m³
Energy relative to the elements, uncorrected ... -1.224 eV/atom

***

Q: total energy of number 3 (RbCdTc2O6)?
A: -6.507 eV/atom